Entry 1:
Computed, not measured: an optimized crystal structure of MnAgB3 at the PBE level of DFT.

Cell lengths 4.0637, 4.0637, 4.0637 Å; angles 90.00, 90.00, 90.00 degrees
Last column: nearest neighbours and their distance in Å.
Sites, in units of the cell vectors:
B: 0.0000 0.5000 0.0000  2 Ag 2.03
B: 0.0000 0.0000 0.5000  2 Ag 2.03
B: 0.5000 0.0000 0.0000  2 Ag 2.03
Mn: 0.5000 0.5000 0.5000  12 B 2.87
Ag: 0.0000 0.0000 0.0000  6 B 2.03

Calculated values
E_form ... 57.95 kcal/mol of atoms
DOS at the Fermi energy ... 6.91 states/eV per cell
Total magnetic moment ... 0.015 μB/atom
Theoretical density ... 4.83 g/cm³

Entry 2:
Computed, not measured: an optimized crystal structure of Mn2Ag2B at the PBE level of DFT.

Cell lengths 5.9574, 5.9574, 4.3770 Å; angles 90.00, 90.00, 90.00 degrees
Last column: nearest neighbours and their distance in Å.
Sites, in units of the cell vectors:
Mn: 0.1616 0.6616 0.5000  6 Ag 2.64-2.92, 1 Mn 2.72
Mn: 0.8384 0.3384 0.5000  6 Ag 2.64-2.92, 1 Mn 2.72
Mn: 0.6616 0.8384 0.5000  6 Ag 2.64-2.92, 1 Mn 2.72
Mn: 0.3384 0.1616 0.5000  6 Ag 2.64-2.92, 1 Mn 2.72
Ag: 0.8373 0.6627 0.0000  2 B 2.23
Ag: 0.3373 0.8373 0.0000  2 B 2.23
Ag: 0.6627 0.1627 0.0000  2 B 2.23
Ag: 0.1627 0.3373 0.0000  2 B 2.23
B: 0.5000 0.5000 0.0000  4 Ag 2.23
B: 0.0000 0.0000 0.0000  4 Ag 2.23

Calculated values
E_form ... 18.64 kcal/mol of atoms
DOS at the Fermi energy ... 8.00 states/eV per cell
Total magnetic moment ... 1.540 μB/atom
Theoretical density ... 7.19 g/cm³

- Look up the DOS at the Fermi energy of the first one.
  6.91 states/eV per cell